Compound: AgOs
Source: Alexandria via LeMat-Bulk
Functional: PBE-GGA
Structure: optimized geometry

Values from the calculation:
Raw total energy: -6.358 eV per atom
DFT formation energy: 0.6820 eV per atom
Energy above the most stable polymorph in this dataset: 0.366 eV per atom
Spin magnetization: 0.00 μB/cell

Unit cell a=2.7293 b=5.1316 c=13.5106 alpha=90.00 beta=90.00 gamma=90.00
Closest atoms and distances in Å follow each position.
Positions (direct):
Ag (0.5000, 0.4232, 0.8330)  6 Ag 2.73-2.74, 6 Os 2.90-2.91
Os (0.5000, 0.7826, 0.0000)  6 Os 2.70-2.73, 6 Ag 2.88-2.94
Os (0.5000, 0.0761, 0.6640)  6 Os 2.70-2.81, 6 Ag 2.86-2.91
Os (0.5000, 0.0761, 0.3360)  6 Os 2.70-2.81, 6 Ag 2.86-2.91
Ag (0.0000, 0.5768, 0.6670)  6 Ag 2.73-2.74, 6 Os 2.90-2.91
Os (0.0000, 0.9239, 0.1640)  6 Os 2.70-2.81, 6 Ag 2.86-2.91
Os (0.0000, 0.9239, 0.8360)  6 Os 2.70-2.81, 6 Ag 2.86-2.91
Ag (0.0000, 0.5768, 0.3330)  6 Ag 2.73-2.74, 6 Os 2.90-2.91
Ag (0.5000, 0.7240, 0.5000)  6 Ag 2.73-2.74, 6 Os 2.86-2.94
Ag (0.0000, 0.2760, 0.0000)  6 Ag 2.73-2.74, 6 Os 2.86-2.94
Os (0.0000, 0.2174, 0.5000)  6 Os 2.70-2.73, 6 Ag 2.88-2.94
Ag (0.5000, 0.4232, 0.1670)  6 Ag 2.73-2.74, 6 Os 2.90-2.91



Compound: Ag2Os
Source: Alexandria via LeMat-Bulk
Functional: PBE-GGA
Structure: optimized geometry

Values from the calculation:
Raw total energy: -4.653 eV per atom
DFT formation energy: 0.9911 eV per atom
Energy above the most stable polymorph in this dataset: 0.539 eV per atom
Spin magnetization: 1.67 μB/cell

Unit cell a=2.6212 b=4.3280 c=19.4162 alpha=90.00 beta=90.00 gamma=90.00
Closest atoms and distances in Å follow each position.
Positions (direct):
Ag (0.0000, 0.7500, 0.9597)  5 Ag 2.62-2.79, 4 Os 2.88
Ag (0.0000, 0.7500, 0.8159)  5 Ag 2.62-2.88, 4 Os 2.90
Ag (0.0000, 0.2500, 0.0403)  5 Ag 2.62-2.79, 4 Os 2.88
Ag (0.5000, 0.2500, 0.3159)  5 Ag 2.62-2.88, 4 Os 2.90
Os (0.0000, 0.7500, 0.3890)  2 Os 2.62, 8 Ag 2.88-2.90
Os (0.0000, 0.2500, 0.6110)  2 Os 2.62, 8 Ag 2.88-2.90
Ag (0.5000, 0.2500, 0.4597)  5 Ag 2.62-2.79, 4 Os 2.88
Os (0.5000, 0.2500, 0.8890)  2 Os 2.62, 8 Ag 2.88-2.90
Ag (0.5000, 0.7500, 0.6841)  5 Ag 2.62-2.88, 4 Os 2.90
Ag (0.0000, 0.2500, 0.1841)  5 Ag 2.62-2.88, 4 Os 2.90
Ag (0.5000, 0.7500, 0.5403)  5 Ag 2.62-2.79, 4 Os 2.88
Os (0.5000, 0.7500, 0.1110)  2 Os 2.62, 8 Ag 2.88-2.90



Compound: Ag4Os
Source: Alexandria via LeMat-Bulk
Functional: PBE-GGA
Structure: optimized geometry

Values from the calculation:
Raw total energy: -3.878 eV per atom
DFT formation energy: 0.6491 eV per atom
Energy above the most stable polymorph in this dataset: 0.000 eV per atom
Spin magnetization: 1.63 μB/cell

Unit cell a=4.9949 b=4.9949 c=4.9949 alpha=99.94 beta=99.94 gamma=130.90
Closest atoms and distances in Å follow each position.
Positions (direct):
Ag (0.3963, 0.2033, 0.5996)  9 Ag 2.86-2.93, 3 Os 2.86-2.90
Ag (0.6037, 0.7967, 0.4004)  9 Ag 2.86-2.93, 3 Os 2.86-2.90
Os (0.0000, 0.0000, 0.0000)  12 Ag 2.86-2.90
Ag (0.2033, 0.6037, 0.8070)  9 Ag 2.86-2.93, 3 Os 2.86-2.90
Ag (0.7967, 0.3963, 0.1930)  9 Ag 2.86-2.93, 3 Os 2.86-2.90



Compound: AgOs2
Source: Alexandria via LeMat-Bulk
Functional: PBE-GGA
Structure: optimized geometry

Values from the calculation:
Raw total energy: -7.861 eV per atom
DFT formation energy: 0.5759 eV per atom
Energy above the most stable polymorph in this dataset: 0.187 eV per atom
Spin magnetization: 0.00 μB/cell

Unit cell a=4.9952 b=4.9952 c=4.9952 alpha=147.58 beta=135.48 gamma=56.14
Closest atoms and distances in Å follow each position.
Positions (direct):
Os (0.6855, 0.6855, 0.0000)  6 Os 2.61-2.79, 5 Ag 2.77-2.86
Os (0.3145, 0.3145, 0.0000)  6 Os 2.61-2.79, 5 Ag 2.77-2.86
Ag (0.0000, 0.0000, 0.0000)  10 Os 2.77-2.86, 2 Ag 2.79



Compound: AgOs
Source: Alexandria via LeMat-Bulk
Functional: PBE-GGA
Structure: optimized geometry

Values from the calculation:
Raw total energy: -6.134 eV per atom
DFT formation energy: 0.9065 eV per atom
Energy above the most stable polymorph in this dataset: 0.590 eV per atom
Spin magnetization: 0.00 μB/cell

Unit cell a=9.1893 b=5.3434 c=5.2670 alpha=90.00 beta=90.00 gamma=90.00
Closest atoms and distances in Å follow each position.
Positions (direct):
Ag (0.2500, 0.7500, 0.5000)  4 Ag 2.63-2.67, 2 Os 2.87
Os (0.0000, 0.0055, 0.7500)  3 Os 2.47-2.63
Ag (0.2500, 0.2500, 0.0000)  4 Ag 2.63-2.67, 2 Os 2.87
Os (0.0000, 0.5438, 0.7500)  3 Os 2.47-2.67
Os (0.5000, 0.5055, 0.7500)  3 Os 2.47-2.63
Ag (0.2500, 0.2500, 0.5000)  4 Ag 2.63-2.67, 2 Os 2.87
Ag (0.7500, 0.7500, 0.0000)  4 Ag 2.63-2.67, 2 Os 2.87
Os (0.0000, 0.4562, 0.2500)  3 Os 2.47-2.67
Os (0.5000, 0.0438, 0.7500)  3 Os 2.47-2.67
Os (0.0000, 0.9945, 0.2500)  3 Os 2.47-2.63
Ag (0.7500, 0.2500, 0.0000)  4 Ag 2.63-2.67, 2 Os 2.87
Ag (0.7500, 0.7500, 0.5000)  4 Ag 2.63-2.67, 2 Os 2.87
Os (0.5000, 0.9562, 0.2500)  3 Os 2.47-2.67
Os (0.5000, 0.4945, 0.2500)  3 Os 2.47-2.63
Ag (0.7500, 0.2500, 0.5000)  4 Ag 2.63-2.67, 2 Os 2.87
Ag (0.2500, 0.7500, 0.0000)  4 Ag 2.63-2.67, 2 Os 2.87



Compound: Ag2Os
Source: Alexandria via LeMat-Bulk
Functional: PBE-GGA
Structure: optimized geometry

Values from the calculation:
Raw total energy: -4.822 eV per atom
DFT formation energy: 0.8217 eV per atom
Energy above the most stable polymorph in this dataset: 0.370 eV per atom
Spin magnetization: 1.02 μB/cell

Unit cell a=7.8904 b=7.8904 c=4.8165 alpha=90.00 beta=90.00 gamma=160.65
Closest atoms and distances in Å follow each position.
Positions (direct):
Ag (0.7211, 0.2789, 0.7500)  8 Ag 2.65-2.93, 4 Os 2.89-2.93
Os (0.6136, 0.3864, 0.2500)  2 Os 2.65, 10 Ag 2.89-2.93
Ag (0.0535, 0.9465, 0.7500)  6 Ag 2.65-2.93, 6 Os 2.90-2.92
Os (0.3864, 0.6136, 0.7500)  2 Os 2.65, 10 Ag 2.89-2.93
Ag (0.2789, 0.7211, 0.2500)  8 Ag 2.65-2.93, 4 Os 2.89-2.93
Ag (0.9465, 0.0535, 0.2500)  6 Ag 2.65-2.93, 6 Os 2.90-2.92



Question: What is the energy above the most stable polymorph in this dataset in the fourth record?
Answer: 0.187 eV per atom